Density functional theory data (PBE-GGA) for a geometry-optimized Mg8Tl2Bi structure.

a = 8.534 Å, b = 8.534 Å, c = 7.328 Å
α = 106.13°, β = 106.13°, γ = 31.41°
Element x y z (fractional)
1 Mg 0.043 0.043 0.224
2 Mg 0.144 0.144 0.698
3 Mg 0.319 0.319 0.586
4 Mg 0.407 0.407 0.037
5 Mg 0.593 0.593 0.963
6 Mg 0.681 0.681 0.414
7 Mg 0.856 0.856 0.302
8 Mg 0.957 0.957 0.776
9 Tl 0.220 0.220 0.153
10 Tl 0.780 0.780 0.847
11 Bi 0.500 0.500 0.500

* E: -1.99 eV per atom
* DFT formation energy: -45 meV/atom